*a*
VASP calculation (PBE-GGA) on an optimized crystal structure of Cd2IrOs.

Results
Density of states at the Fermi level, states/eV/cell: 5.19
Theoretical density, g cm⁻³: 14.89

a = 4.8556 Å, b = 4.8556 Å, c = 4.8556 Å
α = 128.78°, β = 128.78°, γ = 75.37°
Closest atoms and distances in Å follow each position.
Positions (direct):
Cd 0.2500 0.7500 0.5000  4 Cd 2.85, 4 Ir 2.85, 4 Os 2.97
Ir 0.5000 0.5000 0.0000  8 Cd 2.85-2.97, 4 Os 2.85
Os 0.7500 0.2500 0.5000  4 Ir 2.85, 8 Cd 2.85-2.97
Cd 0.0000 0.0000 0.0000  4 Cd 2.85, 4 Os 2.85, 4 Ir 2.97

*b*
VASP calculation (PBE-GGA) on an optimized crystal structure of Cd2IrOs.

Results
Density of states at the Fermi level, states/eV/cell: 1.88
Theoretical density, g cm⁻³: 14.46

a = 2.8574 Å, b = 2.8572 Å, c = 9.0019 Å
α = 71.57°, β = 90.00°, γ = 90.00°
Closest atoms and distances in Å follow each position.
Positions (direct):
Ir 0.0000 0.4722 0.5273  4 Os 2.62, 4 Ir 2.86
Cd 0.0000 0.0248 0.9758  4 Cd 2.86, 4 Os 2.96
Cd 0.5000 0.2252 0.2741  4 Cd 2.86, 4 Ir 2.96
Os 0.5000 0.7777 0.7228  4 Ir 2.62, 4 Os 2.86

Quick one: least stable of them? *a*